Entry 1:
Computed, not measured: LuInFePd after structural relaxation at the PBE level of DFT.

```
4
Lattice="2.235 -2.158 3.420 -2.367 -1.762 3.556 -0.380 -4.580 0.480" Properties=species:S:1:pos:R:3 pbc="T T T"
Fe -0.384 -6.375 5.592
In 0.000 0.000 0.000
Lu -0.256 -4.250 3.728
Pd -0.128 -2.125 1.864
```

The density is 10760 kg/m³. The total magnetization comes out at 1.94 μB/cell. The value obtained for the excess energy over the best structure of this formula in the dataset is 0 meV per atom.

***

Entry 2:
Computed, not measured: ZnCoMoW after structural relaxation at the PBE level of DFT.

```
4
Lattice="1.097 1.060 4.031 -2.713 -0.799 3.253 0.920 -3.086 2.865" Properties=species:S:1:pos:R:3 pbc="T T T"
Co -0.521 -2.118 7.612
Mo -0.174 -0.706 2.537
W -0.348 -1.412 5.075
Zn 0.000 0.000 0.000
```

For the formation energy, the calculation gives 24.9 kJ/mol of atoms. The density is 11851 kg/m³. The total magnetization comes out at 0.73 μB/cell. The value obtained for the excess energy over the best structure of this formula in the dataset is 0 meV per atom.

***

Entry 3:
Computed, not measured: DyTm6Ni2Te2 after structural relaxation at the PBE level of DFT.

```
11
Lattice="-1.910 7.706 4.733 1.910 -7.706 4.733 1.910 7.706 -4.733" Properties=species:S:1:pos:R:3 pbc="T T T"
Dy 0.000 0.000 4.959
Ni 0.000 3.674 5.632
Ni 1.910 4.032 0.899
Te 0.000 0.000 8.143
Te 1.910 0.000 2.433
Tm 0.000 2.056 0.995
Tm 1.910 -2.851 3.808
Tm 0.000 5.423 2.405
Tm 0.000 9.989 2.405
Tm 1.910 2.851 3.808
Tm 0.000 13.356 0.995
```

The density is 9228 kg/m³. The total magnetization comes out at 0.01 μB/cell.

***

Entry 4:
Computed, not measured: CsCu3MoSe4 after structural relaxation at the PBE level of DFT.

```
18
Lattice="5.904 0.000 0.000 0.000 7.764 0.000 -2.953 0.000 9.853" Properties=species:S:1:pos:R:3 pbc="T T T"
Cs 1.430 5.823 1.166
Cs 1.521 1.941 8.687
Cu -0.015 1.941 2.928
Cu -0.194 0.104 4.883
Cu -0.194 3.778 4.883
Cu 3.145 3.985 4.970
Cu 3.145 7.660 4.970
Cu 2.965 5.823 6.925
Mo 2.964 1.941 2.929
Mo -0.013 5.823 6.924
Se 1.495 1.941 1.023
Se 4.385 3.954 2.817
Se 4.385 7.691 2.817
Se 1.402 5.823 4.876
Se 1.549 1.941 4.978
Se -1.434 0.072 7.036
Se -1.434 3.809 7.036
Se 1.456 5.823 8.830
```

The density is 5407 kg/m³. The total magnetization comes out at 4.00 μB/cell. The value obtained for the excess energy over the best structure of this formula in the dataset is 0 meV per atom.

***

Entry 5:
Computed, not measured: LiTmHgTe3 after structural relaxation at the PBE level of DFT.

```
12
Lattice="7.320 -2.143 0.000 7.320 2.143 0.000 0.000 0.000 11.536" Properties=species:S:1:pos:R:3 pbc="T T T"
Hg 6.973 0.000 2.884
Hg 7.666 0.000 8.652
Li 11.776 0.000 2.884
Li 2.863 0.000 8.652
Te 5.216 0.000 0.675
Te 1.515 0.000 2.884
Te 5.216 0.000 5.093
Te 9.423 0.000 6.443
Te 13.125 0.000 8.652
Te 9.423 0.000 10.861
Tm 0.000 0.000 0.000
Tm 0.000 0.000 5.768
```

The density is 6969 kg/m³. The total magnetization comes out at 0.00 μB/cell. The value obtained for the excess energy over the best structure of this formula in the dataset is 0 meV per atom.

***

Entry 6:
Computed, not measured: Zr2H3 after structural relaxation at the PBE level of DFT.

```
10
Lattice="5.001 0.000 0.000 0.000 5.001 0.000 0.000 0.000 4.240" Properties=species:S:1:pos:R:3 pbc="T T T"
H 0.000 0.000 0.000
H 2.501 0.000 0.000
H 0.000 2.501 0.000
H 2.501 0.000 2.120
H 0.000 2.501 2.120
H 2.501 2.501 2.120
Zr 3.751 1.250 1.060
Zr 1.250 3.751 1.060
Zr 1.250 1.250 3.180
Zr 3.751 3.751 3.180
```

The density is 5808 kg/m³. The total magnetization comes out at 0.02 μB/cell. The value obtained for the excess energy over the best structure of this formula in the dataset is 0 meV per atom.

***

Entry 7:
Computed, not measured: ReAg after structural relaxation at the PBE level of DFT.

```
2
Lattice="2.744 0.000 0.000 -1.372 2.376 0.000 0.000 0.000 4.855" Properties=species:S:1:pos:R:3 pbc="T T T"
Ag 1.372 0.792 3.641
Re 0.000 1.584 1.214
```

For the formation energy, the calculation gives 63.3 kJ/mol of atoms. The density is 15427 kg/m³. The total magnetization comes out at 0.00 μB/cell. The value obtained for the excess energy over the best structure of this formula in the dataset is 0 meV per atom.

***

Entry 8:
Computed, not measured: LuNpSe3 after structural relaxation at the PBE level of DFT.

```
10
Lattice="1.976 -6.525 0.000 1.976 6.525 0.000 0.000 0.000 9.876" Properties=species:S:1:pos:R:3 pbc="T T T"
Lu 3.944 0.000 0.000
Lu 0.008 0.000 4.938
Np 1.976 3.232 2.469
Np 1.976 -3.232 7.407
Se 1.970 -1.904 0.634
Se 1.976 -5.382 2.469
Se 1.981 -1.904 4.305
Se 1.981 1.904 5.572
Se 1.976 5.382 7.407
Se 1.970 1.904 9.243
```

The density is 8462 kg/m³. The total magnetization comes out at 7.99 μB/cell.

***

Entry 9:
Computed, not measured: AgICl after structural relaxation at the PBE level of DFT.

```
6
Lattice="-1.986 -5.824 -3.564 3.126 0.201 -2.071 4.414 -1.215 6.545" Properties=species:S:1:pos:R:3 pbc="T T T"
Ag 2.981 -1.517 -0.755
Ag 2.574 -5.321 1.666
Cl -0.146 -6.025 -2.508
Cl 5.700 -0.813 3.419
I 0.867 -3.299 -0.713
I 4.687 -3.539 1.624
```

The density is 4687 kg/m³. The value obtained for the excess energy over the best structure of this formula in the dataset is 0 meV per atom.

***

Entry 10:
Computed, not measured: LiLuTlFe after structural relaxation at the PBE level of DFT.

```
4
Lattice="0.652 1.725 4.415 1.863 4.364 0.613 -2.750 3.572 1.604" Properties=species:S:1:pos:R:3 pbc="T T T"
Fe -0.177 7.246 4.973
Li -0.118 4.830 3.316
Lu -0.059 2.415 1.658
Tl 0.000 0.000 0.000
```

The density is 9479 kg/m³. The total magnetization comes out at 2.67 μB/cell. The value obtained for the excess energy over the best structure of this formula in the dataset is 86 meV per atom.

***

Entry 11:
Computed, not measured: ZnSnOs2 after structural relaxation at the PBE level of DFT.

```
4
Lattice="0.000 3.174 3.174 3.174 0.000 3.174 3.174 3.174 0.000" Properties=species:S:1:pos:R:3 pbc="T T T"
Os 0.000 0.000 0.000
Os 4.761 4.761 4.761
Sn 3.174 3.174 3.174
Zn 1.587 1.587 1.587
```

The density is 14660 kg/m³. The total magnetization comes out at 0.01 μB/cell.

***

Entry 12:
Computed, not measured: NdSmI4 after structural relaxation at the PBE level of DFT.

```
6
Lattice="7.276 0.000 0.000 0.000 4.199 0.000 -2.458 0.000 7.841" Properties=species:S:1:pos:R:3 pbc="T T T"
I 4.827 2.100 2.030
I 1.238 0.000 2.050
I 3.581 0.000 5.791
I -0.009 2.100 5.811
Nd 0.000 2.100 0.000
Sm 3.638 0.000 0.000
```

The density is 5560 kg/m³. The total magnetization comes out at 0.03 μB/cell.

***

Entry 13:
Computed, not measured: Nd2HoAl7Ag2 after structural relaxation at the PBE level of DFT.

```
12
Lattice="2.038 3.485 8.527 5.923 5.410 4.965 0.868 7.836 5.182" Properties=species:S:1:pos:R:3 pbc="T T T"
Ag 2.966 5.620 6.273
Ag 5.863 11.110 12.401
Al 4.730 5.796 8.292
Al 4.698 8.709 12.092
Al 6.685 9.694 10.271
Al 4.415 8.365 9.337
Al 2.144 7.036 8.403
Al 4.131 8.021 6.581
Al 4.099 10.934 10.382
Ho 0.000 0.000 0.000
Nd 1.250 2.369 2.644
Nd 7.579 14.362 16.030
```

The density is 5896 kg/m³. The total magnetization comes out at 0.00 μB/cell.

***

Entry 14:
Computed, not measured: TlAgSnTe3 after structural relaxation at the PBE level of DFT.

```
24
Lattice="-7.283 6.011 -2.258 -1.461 -0.207 4.163 9.874 13.518 4.139" Properties=species:S:1:pos:R:3 pbc="T T T"
Ag -0.459 3.252 1.172
Ag -2.104 8.991 0.880
Ag 3.233 10.331 5.164
Ag 1.589 16.070 4.872
Sn -5.856 5.594 -0.606
Sn 1.708 7.957 2.167
Sn -0.578 11.365 3.877
Sn 6.985 13.728 6.650
Te -2.861 2.263 0.280
Te -0.205 1.444 3.514
Te -3.203 6.527 0.372
Te 1.515 4.994 1.952
Te -1.037 8.296 3.563
Te -1.798 11.710 1.123
Te 2.927 7.612 4.921
Te 2.167 11.026 2.481
Te -0.385 14.328 4.092
Te 4.332 12.795 5.672
Te 1.335 17.878 2.529
Te 3.991 17.059 5.764
Tl -2.055 5.173 3.050
Tl -4.894 9.277 2.258
Tl 6.024 10.045 3.786
Tl 3.185 14.149 2.993
```

The density is 7309 kg/m³. The value obtained for the excess energy over the best structure of this formula in the dataset is 25 meV per atom.

***

Entry 15:
Computed, not measured: UP2Pd4 after structural relaxation at the PBE level of DFT.

```
14
Lattice="-1.768 -5.176 -5.324 -0.432 -5.392 5.386 -3.760 0.786 0.485" Properties=species:S:1:pos:R:3 pbc="T T T"
P -1.388 -5.238 -2.274
P -0.812 -5.331 2.336
P -2.354 -1.882 0.256
P -3.607 -7.901 0.291
Pd -0.803 -3.045 -1.293
Pd -0.476 -3.098 1.329
Pd -1.724 -7.470 -1.268
Pd -1.397 -7.523 1.355
Pd -3.099 -3.535 -2.847
Pd -3.638 -6.122 -2.832
Pd -2.322 -3.660 3.378
Pd -2.861 -6.248 3.393
U 0.000 0.000 0.000
U -2.980 -4.891 0.273
```

The density is 10682 kg/m³. The total magnetization comes out at 3.69 μB/cell.

***

Entry 16:
Computed, not measured: LiCu2Ge after structural relaxation at the PBE level of DFT.

```
4
Lattice="-2.814 2.383 -1.035 -2.436 -2.950 -0.170 -0.835 0.494 3.405" Properties=species:S:1:pos:R:3 pbc="T T T"
Cu -1.824 1.438 1.185
Cu -1.636 -1.228 1.618
Ge -2.625 -0.284 -0.603
Li 0.000 0.000 0.000
```

The density is 6608 kg/m³.

***

Entry 17:
Computed, not measured: Hf2TcNi after structural relaxation at the PBE level of DFT.

```
4
Lattice="0.000 3.204 3.204 3.204 0.000 3.204 3.204 3.204 0.000" Properties=species:S:1:pos:R:3 pbc="T T T"
Hf 3.204 3.204 3.204
Hf 4.805 4.805 4.805
Ni 0.000 0.000 0.000
Tc 1.602 1.602 1.602
```

For the formation energy, the calculation gives 0.1 kJ/mol of atoms. The density is 12971 kg/m³. The total magnetization comes out at 0.00 μB/cell.

***

Entry 18:
Computed, not measured: NdGdIn4Pd2 after structural relaxation at the PBE level of DFT.

```
8
Lattice="4.598 0.000 0.000 0.000 7.465 0.000 -2.284 0.000 5.365" Properties=species:S:1:pos:R:3 pbc="T T T"
Gd 0.011 0.000 4.543
In 0.002 1.487 1.476
In 0.002 5.978 1.476
In 2.313 2.221 3.895
In 2.313 5.245 3.895
Nd 2.303 3.733 0.815
Pd 2.299 0.000 2.215
Pd 0.015 3.733 3.145
```

The density is 8779 kg/m³. The total magnetization comes out at 0.00 μB/cell.

***

Entry 19:
Computed, not measured: MgPaTa after structural relaxation at the PBE level of DFT.

```
3
Lattice="-2.978 2.335 2.958 0.345 4.766 0.485 -3.422 2.851 -1.797" Properties=species:S:1:pos:R:3 pbc="T T T"
Mg -1.514 2.488 0.411
Pa 0.000 0.000 0.000
Ta -4.541 7.463 1.234
```

The density is 9248 kg/m³. The total magnetization comes out at 0.42 μB/cell. The value obtained for the excess energy over the best structure of this formula in the dataset is 276 meV per atom.

***

Entry 20:
Computed, not measured: Na3Cd2BrO6 after structural relaxation at the PBE level of DFT.

```
12
Lattice="1.072 2.836 -4.824 -5.178 0.279 2.360 2.932 3.203 3.691" Properties=species:S:1:pos:R:3 pbc="T T T"
Br 0.000 0.000 0.000
Cd -1.011 1.984 -2.430
Cd -3.096 1.131 -0.034
Na 1.494 4.011 -1.779
Na -0.587 3.159 0.614
Na -2.669 2.307 3.006
O -2.568 3.107 -1.128
O 0.670 1.786 -0.795
O -1.190 1.024 1.343
O 0.015 5.294 -0.116
O -1.845 4.532 2.022
O 1.393 3.211 2.355
```

The density is 5173 kg/m³.

***

Energy across the listed records, respectively: -5.5044; -7.7871; -5.1265; -4.4726; -3.4689; -5.9447; -6.9678; -7.0500; -2.3206; -4.1206; -6.3075; -3.8913; -4.2660; -3.2515; -6.7301; -3.6139; -8.9591; -4.4947; -6.1771; -3.9767 eV/atom.